Below is RbTeP2H6 after structural relaxation, with properties calculated at the GGA-PBE level.

Properties
Crystal system: monoclinic
Symmetry: C2/c (15)
DFT total energy (eV per atom): -3.6160
Magnetic moment (μB/cell): 0.00

Lattice parameters (Å, degrees): 7.225 7.225 7.333 90.31 90.31 113.34
Fractional coordinates of all 20 atoms:
1 Rb 0.205 0.795 0.750
2 Rb 0.795 0.205 0.250
3 Te 0.323 0.677 0.250
4 Te 0.677 0.323 0.750
5 P 0.204 0.282 0.747
6 P 0.282 0.204 0.247
7 P 0.718 0.796 0.753
8 P 0.796 0.718 0.253
9 H 0.001 0.295 0.747
10 H 0.274 0.426 0.604
11 H 0.274 0.426 0.893
12 H 0.295 0.001 0.247
13 H 0.426 0.274 0.104
14 H 0.426 0.274 0.393
15 H 0.574 0.726 0.607
16 H 0.574 0.726 0.896
17 H 0.705 0.999 0.753
18 H 0.726 0.574 0.107
19 H 0.726 0.574 0.396
20 H 0.999 0.705 0.253